Li2IrPt: optimized geometry, GGA-PBEsol.

Cell: 3.667 3.667 4.795 Å, 112.48 112.48 90.00°
Element x y z (fractional)
Ir 0.000 0.000 0.000
Li 0.750 0.250 0.500
Li 0.250 0.750 0.500
Pt 0.500 0.500 0.000

Properties
total moment: 0.000 μB per atom
uncorrected energy: -5.31 eV per atom
crystal system: tetragonal
N(E_F): 0.9714 states/eV per atom
DFT formation energy: -0.50 eV per formula unit

=====

LiIrPt2: optimized geometry, GGA-PBEsol.

Cell: 2.704 2.704 9.092 Å, 81.45 81.45 60.00°
Element x y z (fractional)
Ir 0.500 0.500 0.500
Li 0.000 0.000 0.000
Pt 0.252 0.252 0.245
Pt 0.748 0.748 0.755

Properties
total moment: 0.000 μB per atom
uncorrected energy: -6.59 eV per atom
crystal system: trigonal
N(E_F): 0.7047 states/eV per atom
DFT formation energy: -0.64 eV per formula unit

=====

Li2IrPt: optimized geometry, GGA-PBEsol.

Cell: 2.705 4.334 4.567 Å, 90.00 90.00 90.00°
Element x y z (fractional)
Ir 0.000 0.500 0.500
Pt 0.500 0.500 0.000
Li 0.000 0.000 0.000
Li 0.500 0.000 0.500

Properties
total moment: 0.000 μB per atom
uncorrected energy: -5.50 eV per atom
crystal system: orthorhombic
N(E_F): 0.6922 states/eV per atom
DFT formation energy: -1.29 eV per formula unit

=====

LiIrPt2: optimized geometry, GGA-PBEsol.

Cell: 2.687 4.459 4.663 Å, 90.00 90.00 90.00°
Element x y z (fractional)
Ir 0.500 0.000 0.561
Pt 0.000 0.000 0.066
Pt 0.000 0.500 0.685
Li 0.500 0.500 0.188

Properties
total moment: 0.000 μB per atom
uncorrected energy: -6.71 eV per atom
crystal system: orthorhombic
N(E_F): 0.8160 states/eV per atom
DFT formation energy: -1.12 eV per formula unit